# VGa3O6, relaxed, DFT PBE+U
# Magnetization (μB per formula unit): 2.0
# Total DFT energy (no corrections) (eV/cell): -128.00
data_VGa3O6
_cell_length_a 8.255
_cell_length_b 2.966
_cell_length_c 8.854
_cell_angle_alpha 90.00
_cell_angle_beta 112.05
_cell_angle_gamma 90.00
_space_group_name_H-M_alt 'P 1 21/m 1'
_space_group_IT_number 11
loop_
_space_group_symop_operation_xyz
'x,y,z'
'-x,-y,-z'
'-x,y+1/2,-z'
'x,-y+1/2,z'
loop_
_atom_site_label
_atom_site_fract_x
_atom_site_fract_y
_atom_site_fract_z
V1 0.190 0.250 0.077
Ga1 0.010 0.250 0.704
Ga2 0.332 0.250 0.447
Ga3 0.409 0.750 0.830
O1 0.055 0.750 0.908
O2 0.094 0.250 0.430
O3 0.229 0.750 0.259
O4 0.253 0.250 0.767
O5 0.403 0.750 0.068
O6 0.440 0.750 0.598